First-principles (PBE-GGA) data for an optimized crystal structure of NaGePtO4, as listed in Alexandria. Values from VASP.

Results
crystal system = orthorhombic
raw formation energy = -1184.7 meV per atom

Cell and atoms, written as Quantum ESPRESSO input:
```
&SYSTEM
  ibrav = 0, nat = 14, ntyp = 4
/
ATOMIC_SPECIES
Na 22.99 Na.upf
Ge 72.64 Ge.upf
Pt 195.08 Pt.upf
O 16.00 O.upf
ATOMIC_POSITIONS angstrom
Na 0.000 1.574 1.163
Na 2.900 1.574 3.615
Ge 1.450 1.574 -2.389
Ge 1.450 -1.574 2.389
Pt 2.900 0.000 0.000
Pt 0.000 0.000 4.778
O 2.900 2.850 -2.402
O 2.900 -0.298 2.402
O 1.607 1.574 -0.418
O 4.193 1.574 -0.418
O -1.293 1.574 5.196
O 1.293 1.574 5.196
O 0.000 3.445 2.376
O 0.000 0.298 7.180
CELL_PARAMETERS angstrom
-2.900 3.148 4.778
2.900 -3.148 4.778
2.900 3.148 -4.778
```

---

First-principles (PBE-GGA) data for an optimized crystal structure of Na2GePt2O6, as listed in Alexandria. Values from VASP.

Results
crystal system = monoclinic
raw formation energy = -1014.4 meV per atom

Cell and atoms, written as Quantum ESPRESSO input:
```
&SYSTEM
  ibrav = 0, nat = 11, ntyp = 4
/
ATOMIC_SPECIES
Na 22.99 Na.upf
Ge 72.64 Ge.upf
Pt 195.08 Pt.upf
O 16.00 O.upf
ATOMIC_POSITIONS angstrom
Na 2.817 2.937 0.000
Na 2.817 -2.937 0.000
Ge -1.176 0.000 2.742
Pt 1.641 1.566 2.742
Pt 1.641 -1.566 2.742
O -0.531 1.412 3.872
O 0.656 0.000 1.770
O -0.531 -1.412 3.872
O 3.813 1.412 1.612
O 2.626 0.000 3.714
O 3.813 -1.412 1.612
CELL_PARAMETERS angstrom
2.817 -4.547 0.000
2.817 4.547 0.000
-2.351 0.000 5.484
```

---

First-principles (PBE-GGA) data for an optimized crystal structure of NaGePtO, as listed in Alexandria. Values from VASP.

Results
crystal system = trigonal
raw formation energy = -924.7 meV per atom
distance to the lowest polymorph of the same formula = 63 meV/atom

Cell and atoms, written as Quantum ESPRESSO input:
```
&SYSTEM
  ibrav = 0, nat = 4, ntyp = 4
/
ATOMIC_SPECIES
Na 22.99 Na.upf
Ge 72.64 Ge.upf
Pt 195.08 Pt.upf
O 16.00 O.upf
ATOMIC_POSITIONS angstrom
Na 0.000 0.000 0.000
Ge 1.907 1.101 3.610
Pt 0.000 2.202 2.627
O 1.907 1.101 5.358
CELL_PARAMETERS angstrom
3.815 0.000 0.000
-1.907 3.304 0.000
0.000 0.000 6.134
```

---

First-principles (PBE-GGA) data for an optimized crystal structure of NaPu2GeO8, as listed in Alexandria. Values from VASP.

Results
crystal system = orthorhombic
raw formation energy = -2196.7 meV per atom

Cell and atoms, written as Quantum ESPRESSO input:
```
&SYSTEM
  ibrav = 0, nat = 12, ntyp = 4
/
ATOMIC_SPECIES
Na 22.99 Na.upf
Pu 244.00 Pu.upf
Ge 72.64 Ge.upf
O 16.00 O.upf
ATOMIC_POSITIONS angstrom
Na 0.000 0.000 0.000
Pu 3.326 0.000 1.726
Pu 3.326 0.000 5.059
Ge 0.000 0.000 3.392
O 1.300 0.000 1.971
O 1.300 0.000 4.814
O 3.326 1.452 3.392
O 3.326 1.215 0.000
O 3.326 -1.215 0.000
O 3.326 -1.452 3.392
O 5.353 0.000 1.971
O 5.353 0.000 4.814
CELL_PARAMETERS angstrom
3.326 -3.445 0.000
3.326 3.445 0.000
0.000 0.000 6.785
```

---

| no. | theoretical density (kg/m³) |
| --- | --- |
| 1 | 6751 |
| 2 | 7148 |
| 3 | 6588 |
| 4 | 7599 |